Record 1
The following is a DFT calculation (PBE-GGA) of a relaxed structure of NaAcNdBi.

Output
* spin magnetization: 0.01 μB per cell
* formation energy: -0.260 eV per atom

extended XYZ file:
```
4
Lattice="-2.717 -2.060 -4.626 2.995 -2.533 -4.200 -0.411 -5.676 -0.801" Properties=species:S:1:pos:R:3 pbc="T T T"
Na 0.000 0.000 0.000
Ac -0.100 -7.702 -7.221
Nd -0.033 -2.567 -2.407
Bi -0.066 -5.134 -4.814
```

Record 2
The following is a DFT calculation (PBE-GGA) of a relaxed structure of NaAcBiO.

Output
* formation energy (no corrections): -1.459 eV per atom
* spin magnetization: 0.00 μB per cell

extended XYZ file:
```
4
Lattice="-0.062 -0.855 3.485 -1.000 -3.343 -0.838 8.082 -0.061 -1.719" Properties=species:S:1:pos:R:3 pbc="T T T"
Na 3.014 -0.862 -0.158
Ac 5.434 -3.805 1.011
Bi 0.519 -2.399 1.269
O 5.256 -1.503 -0.275
```